Ag2BrCl | SCAN | single point on PBEsol structure

Cell and atoms, written as CIF:
```
data_Ag2BrCl
_chemical_formula_sum 'Ag2 Br1 Cl1'
_space_group_name_H-M_alt 'P 4 m m'
_space_group_IT_number 99
_space_group_name_Hall 'P 4 -2'
_cell_length_a 3.932
_cell_length_b 3.932
_cell_length_c 5.539
_cell_angle_alpha 90.00
_cell_angle_beta 90.00
_cell_angle_gamma 90.00
loop_
_atom_site_label
_atom_site_type_symbol
_atom_site_fract_x
_atom_site_fract_y
_atom_site_fract_z
Ag1 Ag 0.000 0.000 0.000
Ag2 Ag 0.500 0.500 0.498
Br1 Br 0.500 0.500 0.998
Cl1 Cl 0.000 0.000 0.499
```

Values from the calculation:
As for the total energy: -92.0 eV/cell.